Record 1
Compound: Hg2P
Source: Alexandria via LeMat-Bulk
Functional: PBEsol
Structure: relaxed

Unit cell a=15.4326 b=3.1865 c=5.5722 alpha=90.00 beta=90.25 gamma=90.00
Space group Cm (No. 8)
Unique sites:
Hg1 0.0000 0.0000 0.0000
Hg2 0.0000 0.0000 0.5001
Hg3 0.1668 0.5000 0.0014
Hg4 0.3332 0.0000 0.0022
P1 0.2017 0.5000 0.5015
P2 0.2983 0.0000 0.5020

Computed properties:
distance to the lowest polymorph of the same formula = 0 meV per atom
V = 274.01 Å³/cell
total DFT energy (no corrections) = -2.226 eV/atom
energy relative to the elements = 24 kJ/mol of formula units

Record 2
Compound: Be2CoPd
Source: Alexandria via LeMat-Bulk
Functional: PBEsol
Structure: relaxed

Unit cell a=5.3666 b=5.3666 c=5.3666 alpha=90.00 beta=90.00 gamma=90.00
Space group Fm-3m (No. 225)
Unique sites:
Be1 0.2500 0.2500 0.2500
Co1 0.0000 0.0000 0.0000
Pd1 0.0000 0.0000 0.5000

Computed properties:
V = 154.56 Å³/cell
total DFT energy (no corrections) = -5.877 eV/atom
energy relative to the elements = -175 kJ/mol of formula units

Record 3
Compound: TiMn2OsC
Source: Alexandria via LeMat-Bulk
Functional: PBEsol
Structure: relaxed

Unit cell a=4.3678 b=4.3678 c=4.4555 alpha=90.00 beta=90.00 gamma=90.00
Space group P4/mmm (No. 123)
Unique sites:
Ti1 0.0000 0.0000 0.0000
Mn1 0.0000 0.5000 0.0000
Os1 0.0000 0.0000 0.5000
C1 0.5000 0.5000 0.5000

Computed properties:
V = 85.00 Å³/cell
total DFT energy (no corrections) = -7.230 eV/atom
energy relative to the elements = 1308 kJ/mol of formula units

Record 4
Compound: In2O3
Source: Alexandria via LeMat-Bulk
Functional: PBEsol
Structure: relaxed

Unit cell a=5.5156 b=5.5156 c=14.5564 alpha=90.00 beta=90.00 gamma=120.00
Space group R-3c (No. 167, hexagonal axes)
Unique sites:
In1 0.0000 0.0000 0.1426
O1 0.0000 0.2958 0.2500

Computed properties:
V = 383.51 Å³/cell
total DFT energy (no corrections) = -5.938 eV/atom
formation energy from raw total energies = -1.60 eV/atom

Record 5
Compound: RbMg2Cd2
Source: Alexandria via LeMat-Bulk
Functional: PBEsol
Structure: relaxed

Unit cell a=4.8769 b=4.8769 c=12.5470 alpha=90.00 beta=90.00 gamma=90.00
Space group I4/mmm (No. 139)
Unique sites:
Rb1 0.0000 0.0000 0.0000
Mg1 0.0000 0.5000 0.2500
Cd1 0.0000 0.0000 0.3847

Computed properties:
distance to the lowest polymorph of the same formula = 17 meV per atom
V = 298.42 Å³/cell
total DFT energy (no corrections) = -1.341 eV/atom
energy relative to the elements = 14 kJ/mol of formula units

Record 6
Compound: TaSi2PBr
Source: Alexandria via LeMat-Bulk
Functional: PBEsol
Structure: relaxed

Unit cell a=4.4389 b=4.4389 c=4.7290 alpha=90.00 beta=90.00 gamma=90.00
Space group P4/mmm (No. 123)
Unique sites:
Ta1 0.0000 0.0000 0.0000
Si1 0.0000 0.5000 0.5000
P1 0.5000 0.5000 0.5000
Br1 0.5000 0.5000 0.0000

Computed properties:
V = 93.18 Å³/cell
total DFT energy (no corrections) = -5.173 eV/atom
formation energy from raw total energies = 1.17 eV/atom

Record 7
Compound: FeMoP2
Source: Alexandria via LeMat-Bulk
Functional: PBEsol
Structure: relaxed

Unit cell a=5.7356 b=5.7356 c=5.7356 alpha=90.00 beta=90.00 gamma=90.00
Space group Fm-3m (No. 225)
Unique sites:
Fe1 0.0000 0.0000 0.0000
Mo1 0.0000 0.0000 0.5000
P1 0.2500 0.2500 0.2500

Computed properties:
V = 188.69 Å³/cell
total DFT energy (no corrections) = -8.438 eV/atom
energy relative to the elements = -139 kJ/mol of formula units

Record 8
Compound: Ca3AlCd
Source: Alexandria via LeMat-Bulk
Functional: PBEsol
Structure: relaxed

Unit cell a=5.7816 b=5.7816 c=5.7816 alpha=90.00 beta=90.00 gamma=90.00
Space group Pm-3m (No. 221)
Unique sites:
Ca1 0.0000 0.0000 0.5000
Al1 0.0000 0.0000 0.0000
Cd1 0.5000 0.5000 0.5000

Computed properties:
V = 193.26 Å³/cell
total DFT energy (no corrections) = -2.148 eV/atom
energy relative to the elements = 92 kJ/mol of formula units